[1]
A plane-wave DFT calculation with PBE was carried out for an optimized crystal structure of Cs2ZrCrIn.

Values from the calculation:
* spin magnetization: 5.669 μB/cell
* electronic total energy: -15.7 eV for the cell shown
* D(E_F): 8.10 states/eV/f.u.
* ρ: 3.27 g/cm3

Cell lengths 6.895, 5.596, 6.895 Å; angles 90.00, 90.00, 90.00 degrees
Atoms (fractional coordinates):
Cs  0.000  0.000  0.500
Cs  0.500  0.000  0.000
Cr  0.500  0.500  0.500
Zr  0.000  0.000  0.000
In  0.000  0.500  0.000

=====

[2]
A plane-wave DFT calculation with PBE was carried out for an optimized crystal structure of CsCrIr2.

Values from the calculation:
* spin magnetization: 3.023 μB/cell
* electronic total energy: -21.8 eV for the cell shown
* D(E_F): 4.17 states/eV/f.u.
* ρ: 12.38 g/cm3

Cell lengths 4.762, 4.762, 4.762 Å; angles 60.00, 60.00, 60.00 degrees
Atoms (fractional coordinates):
Cs  0.500  0.500  0.500
Cr  0.000  0.000  0.000
Ir  0.250  0.250  0.250
Ir  0.750  0.750  0.750

=====

[3]
A plane-wave DFT calculation with PBE was carried out for an optimized crystal structure of Cs2CrIr.

Values from the calculation:
* spin magnetization: 5.000 μB/cell
* electronic total energy: -14.2 eV for the cell shown
* D(E_F): 5.87 states/eV/f.u.
* ρ: 6.10 g/cm3

Cell lengths 5.812, 5.812, 5.812 Å; angles 60.00, 60.00, 60.00 degrees
Atoms (fractional coordinates):
Cs  0.250  0.250  0.250
Cs  0.750  0.750  0.750
Cr  0.000  0.000  0.000
Ir  0.500  0.500  0.500

=====

[4]
A plane-wave DFT calculation with PBE was carried out for an optimized crystal structure of CsCr3Ir.

Values from the calculation:
* spin magnetization: 0.038 μB/cell
* electronic total energy: -22.5 eV for the cell shown
* D(E_F): 10.58 states/eV/f.u.
* ρ: 8.43 g/cm3

Cell lengths 4.559, 4.559, 4.559 Å; angles 90.00, 90.00, 90.00 degrees
Atoms (fractional coordinates):
Cs  0.000  0.000  0.000
Cr  0.000  0.500  0.000
Cr  0.000  0.000  0.500
Cr  0.500  0.000  0.000
Ir  0.500  0.500  0.500

=====

[5]
A plane-wave DFT calculation with PBE was carried out for an optimized crystal structure of CsCr2Ir.

Values from the calculation:
* spin magnetization: 0.000 μB/cell
* electronic total energy: -22.1 eV for the cell shown
* D(E_F): 2.08 states/eV/f.u.
* ρ: 10.80 g/cm3

Cell lengths 4.536, 4.536, 4.536 Å; angles 60.00, 60.00, 60.00 degrees
Atoms (fractional coordinates):
Cs  0.000  0.000  0.000
Cr  0.250  0.250  0.250
Cr  0.750  0.750  0.750
Ir  0.500  0.500  0.500

=====

[6]
A plane-wave DFT calculation with PBE was carried out for an optimized crystal structure of CsCrIr3.

Values from the calculation:
* spin magnetization: 3.043 μB/cell
* electronic total energy: -21.3 eV for the cell shown
* D(E_F): 11.13 states/eV/f.u.
* ρ: 10.26 g/cm3
* ΔE to the lowest computed polymorph: 174.3 kJ per mole of atoms

Cell lengths 4.976, 4.976, 4.976 Å; angles 90.00, 90.00, 90.00 degrees
Atoms (fractional coordinates):
Cs  0.000  0.000  0.000
Cr  0.500  0.500  0.500
Ir  0.000  0.500  0.000
Ir  0.000  0.000  0.500
Ir  0.500  0.000  0.000